# Na2MgSbMo (PBE, relaxed)
data_Na2MgSbMo
_chemical_formula_sum 'Na2 Mg1 Sb1 Mo1'
_cell_length_a 5.163
_cell_length_b 5.163
_cell_length_c 5.263
_cell_angle_alpha 90.00
_cell_angle_beta 90.00
_cell_angle_gamma 90.00
_symmetry_space_group_name_H-M 'P 4/m m m'
_symmetry_Int_Tables_number 123
_symmetry_space_group_name_Hall '-P 4 2'
loop_
_atom_site_label
_atom_site_fract_x
_atom_site_fract_y
_atom_site_fract_z
Na1 0.000 0.500 0.000
Mg1 0.000 0.000 0.000
Sb1 0.500 0.500 0.500
Mo1 0.000 0.000 0.500
# E_form (uncorrected) = 5.2 eV/f.u.